Here is an optimized crystal structure of LiPdCl5 from Alexandria. Energies are from PBE.

Properties
As for the calculated total energy: -3.0159 eV/atom. As for the volume: 708 Å³/cell. As for the offset from the most stable computed form: 0.0 kJ per mole of atoms. The calculation puts the total magnetic moment at 0.00 μB/cell. As for the uncorrected formation energy: -0.682 eV/atom.

Geometry as CIF:
```
data_LiPdCl5
_chemical_formula_sum 'Li4 Pd4 Cl20'
_cell_length_a 9.214
_cell_length_b 10.769
_cell_length_c 8.163
_cell_angle_alpha 90.00
_cell_angle_beta 119.10
_cell_angle_gamma 90.00
_symmetry_space_group_name_H-M 'C 1 2/c 1'
_symmetry_Int_Tables_number 15
loop_
_symmetry_equiv_pos_as_xyz
'x,y,z'
'-x,-y,-z'
'-x,y,-z+1/2'
'x,-y,z+1/2'
'x+1/2,y+1/2,z'
'-x+1/2,-y+1/2,-z'
'-x+1/2,y+1/2,-z+1/2'
'x+1/2,-y+1/2,z+1/2'
loop_
_atom_site_label
_atom_site_type_symbol
_atom_site_fract_x
_atom_site_fract_y
_atom_site_fract_z
_atom_site_occupancy
Li1 Li 0.000 0.107 0.250 1
Pd1 Pd 0.250 0.250 0.000 1
Cl1 Cl 0.000 0.336 0.750 1
Cl2 Cl 0.148 0.286 0.211 1
Cl3 Cl 0.177 0.041 0.995 1
```



Here is an optimized crystal structure of TaTl2Se from Alexandria. Energies are from PBE.

Properties
As for the calculated total energy: -4.8309 eV/atom. As for the volume: 185 Å³/cell. As for the offset from the most stable computed form: 23.6 kJ per mole of atoms. The calculation puts the total magnetic moment at 0.00 μB/cell. As for the uncorrected formation energy: 0.187 eV/atom.

Geometry as CIF:
```
data_TaTl2Se
_chemical_formula_sum 'Ta2 Tl4 Se2'
_cell_length_a 4.603
_cell_length_b 3.575
_cell_length_c 11.265
_cell_angle_alpha 90.00
_cell_angle_beta 90.00
_cell_angle_gamma 90.00
_symmetry_space_group_name_H-M 'A m m 2'
_symmetry_Int_Tables_number 38
loop_
_symmetry_equiv_pos_as_xyz
'x,y,z'
'-x,-y,z'
'-x,y,z'
'x,-y,z'
'x,y+1/2,z+1/2'
'-x,-y+1/2,z+1/2'
'-x,y+1/2,z+1/2'
'x,-y+1/2,z+1/2'
loop_
_atom_site_label
_atom_site_type_symbol
_atom_site_fract_x
_atom_site_fract_y
_atom_site_fract_z
_atom_site_occupancy
Ta1 Ta 0.000 0.000 0.000 1
Tl1 Tl 0.000 0.000 0.269 1
Tl2 Tl 0.500 0.000 0.600 1
Se1 Se 0.500 0.000 0.883 1
```



Here is an optimized crystal structure of SrCoP2 from Alexandria. Energies are from PBE.

Properties
As for the calculated total energy: -5.5625 eV/atom. As for the volume: 211 Å³/cell. The calculation puts the calculated formation energy at -0.661 eV per atom. As for the offset from the most stable computed form: 0.0 kJ per mole of atoms. The calculation puts the total magnetic moment at 0.00 μB/cell.

Geometry as CIF:
```
data_SrCoP2
_chemical_formula_sum 'Sr3 Co3 P6'
_cell_length_a 3.8065
_cell_length_b 3.8065
_cell_length_c 16.8023
_cell_angle_alpha 90.00
_cell_angle_beta 90.00
_cell_angle_gamma 120.00
_symmetry_space_group_name_H-M 'R -3 m'
_symmetry_Int_Tables_number 166
_symmetry_space_group_name_Hall '-R 3 2"'
loop_
_atom_site_label
_atom_site_type_symbol
_atom_site_fract_x
_atom_site_fract_y
_atom_site_fract_z
_atom_site_occupancy
Sr1 Sr 0.0000 0.0000 0.0000 1
Co1 Co 0.0000 0.0000 0.5000 1
P1 P 0.0000 0.0000 0.2110 1
```



Here is an optimized crystal structure of K12Te5I3 from Alexandria. Energies are from PBE.

Properties
As for the calculated total energy: -2.6297 eV/atom. As for the volume: 8920 Å³/cell. The calculation puts the total magnetic moment at 11.22 μB/cell. As for the uncorrected formation energy: -0.953 eV/atom.

Geometry as CIF:
```
data_K12Te5I3
_chemical_formula_sum 'K96 Te40 I24'
_cell_length_a 20.739
_cell_length_b 20.739
_cell_length_c 20.739
_cell_angle_alpha 90.00
_cell_angle_beta 90.00
_cell_angle_gamma 90.00
_symmetry_space_group_name_H-M 'I a -3 d'
_symmetry_Int_Tables_number 230
_symmetry_space_group_name_Hall '-I 4bd 2c 3'
loop_
_atom_site_label
_atom_site_type_symbol
_atom_site_fract_x
_atom_site_fract_y
_atom_site_fract_z
_atom_site_occupancy
K1 K 0.029 0.069 0.646 1
Te1 Te 0.000 0.000 0.000 1
Te2 Te 0.000 0.250 0.375 1
I1 I 0.000 0.250 0.125 1
```